a:
Here is an optimized crystal structure of LuMgZr2 from Alexandria. Energies are from GGA-PBE.

Cell: 3.2328 3.2328 9.1611 Å, 90.00 90.00 90.00°
Closest atoms and distances in Å follow each position.
Space group P4/mmm (No. 123)
Symmetry-distinct sites (fractional):
Lu (0.0000, 0.0000, 0.0000) x1  4 Lu 3.23, 8 Zr 3.27
Mg (0.0000, 0.0000, 0.5000) x1  8 Zr 3.20, 4 Mg 3.23
Zr (0.5000, 0.5000, 0.2555) x2  4 Mg 3.20, 4 Zr 3.23, 4 Lu 3.27

## Properties
Crystal system   tetragonal
Spin magnetization   0.0 μB/f.u.

b:
Here is an optimized crystal structure of LuMgZr2 from Alexandria. Energies are from GGA-PBE.

Cell: 4.5380 4.5380 4.6260 Å, 90.00 90.00 90.00°
Closest atoms and distances in Å follow each position.
Space group P4/mmm (No. 123)
Symmetry-distinct sites (fractional):
Lu (0.0000, 0.0000, 0.0000) x1  4 Mg 3.21, 8 Zr 3.24
Mg (0.5000, 0.5000, 0.0000) x1  4 Lu 3.21, 8 Zr 3.24
Zr (0.0000, 0.5000, 0.5000) x2  4 Zr 3.21, 4 Mg 3.24, 4 Lu 3.24

## Properties
Crystal system   tetragonal
Spin magnetization   0.0 μB/f.u.

a (0.011 eV/atom below the next structure)

a:
Here is an optimized crystal structure of Lu2MgZr from Alexandria. Energies are from GGA-PBE.

Cell: 4.6961 4.6961 4.6457 Å, 90.00 90.00 90.00°
Closest atoms and distances in Å follow each position.
Space group P4/mmm (No. 123)
Symmetry-distinct sites (fractional):
Lu (0.0000, 0.5000, 0.0000) x2  4 Zr 3.30, 4 Mg 3.30, 4 Lu 3.32
Mg (0.0000, 0.0000, 0.5000) x1  8 Lu 3.30, 4 Zr 3.32
Zr (0.5000, 0.5000, 0.5000) x1  8 Lu 3.30, 4 Mg 3.32

## Properties
Crystal system   tetragonal
Spin magnetization   0.0 μB/f.u.

b:
Here is an optimized crystal structure of Lu2MgZr from Alexandria. Energies are from GGA-PBE.

Cell: 3.3835 3.3835 9.1556 Å, 90.00 90.00 90.00°
Closest atoms and distances in Å follow each position.
Space group P4/mmm (No. 123)
Symmetry-distinct sites (fractional):
Lu (0.0000, 0.0000, 0.2436) x2  4 Zr 3.27, 4 Mg 3.35, 4 Lu 3.38
Mg (0.5000, 0.5000, 0.5000) x1  8 Lu 3.35, 4 Mg 3.38
Zr (0.5000, 0.5000, 0.0000) x1  8 Lu 3.27, 4 Zr 3.38

## Properties
Crystal system   tetragonal
Spin magnetization   0.0 μB/f.u.

b (0.116 eV/atom below the next structure)

a:
Here is an optimized crystal structure of LuMn2Nb from Alexandria. Energies are from GGA-PBE.

Cell: 3.1618 3.1618 6.5259 Å, 90.00 90.00 90.00°
Closest atoms and distances in Å follow each position.
Space group P4/mmm (No. 123)
Symmetry-distinct sites (fractional):
Lu (0.0000, 0.0000, 0.0000) x1  8 Mn 2.91, 4 Lu 3.16
Mn (0.5000, 0.5000, 0.2847) x2  4 Nb 2.64, 1 Mn 2.81, 4 Lu 2.91
Nb (0.0000, 0.0000, 0.5000) x1  8 Mn 2.64

## Properties
Crystal system   tetragonal
Spin magnetization   1.6 μB/f.u.

b:
Here is an optimized crystal structure of LuMn2Nb from Alexandria. Energies are from GGA-PBE.

Cell: 4.5135 4.5135 3.1482 Å, 90.00 90.00 90.00°
Closest atoms and distances in Å follow each position.
Space group P4/mmm (No. 123)
Symmetry-distinct sites (fractional):
Lu (0.0000, 0.0000, 0.0000) x1  8 Mn 2.75
Mn (0.0000, 0.5000, 0.5000) x2  4 Nb 2.75, 4 Lu 2.75
Nb (0.5000, 0.5000, 0.0000) x1  8 Mn 2.75

## Properties
Crystal system   tetragonal
Spin magnetization   1.6 μB/f.u.

a (0.094 eV/atom below the next structure)

a:
Here is an optimized crystal structure of Lu2MnNi from Alexandria. Energies are from GGA-PBE.

Cell: 3.3306 3.3306 6.8539 Å, 90.00 90.00 90.00°
Closest atoms and distances in Å follow each position.
Space group P4/mmm (No. 123)
Symmetry-distinct sites (fractional):
Lu (0.0000, 0.0000, 0.2385) x2  4 Ni 2.87, 4 Mn 2.96
Mn (0.5000, 0.5000, 0.5000) x1  8 Lu 2.96
Ni (0.5000, 0.5000, 0.0000) x1  8 Lu 2.87

## Properties
Crystal system   tetragonal
Spin magnetization   2.9 μB/f.u.

b:
Here is an optimized crystal structure of Lu2MnNi from Alexandria. Energies are from GGA-PBE.

Cell: 6.7456 6.7456 6.7456 Å, 90.00 90.00 90.00°
Closest atoms and distances in Å follow each position.
Space group Fm-3m (No. 225)
Symmetry-distinct sites (fractional):
Lu (0.2500, 0.2500, 0.2500) x8  4 Mn 2.92, 4 Ni 2.92
Mn (0.0000, 0.0000, 0.0000) x4  8 Lu 2.92
Ni (0.0000, 0.0000, 0.5000) x4  8 Lu 2.92

## Properties
Crystal system   cubic
Spin magnetization   3.2 μB/f.u.

a (0.077 eV/atom below the next structure)

a:
Here is an optimized crystal structure of Lu2MnOs from Alexandria. Energies are from GGA-PBE.

Cell: 3.3807 3.3807 6.9068 Å, 90.00 90.00 90.00°
Closest atoms and distances in Å follow each position.
Space group P4/mmm (No. 123)
Symmetry-distinct sites (fractional):
Lu (0.0000, 0.0000, 0.2336) x2  4 Os 2.88, 4 Mn 3.02, 1 Lu 3.23
Mn (0.5000, 0.5000, 0.5000) x1  8 Lu 3.02
Os (0.5000, 0.5000, 0.0000) x1  8 Lu 2.88

## Properties
Crystal system   tetragonal
Spin magnetization   3.3 μB/f.u.

b:
Here is an optimized crystal structure of Lu2MnOs from Alexandria. Energies are from GGA-PBE.

Cell: 6.7899 6.7899 6.7899 Å, 90.00 90.00 90.00°
Closest atoms and distances in Å follow each position.
Space group Fm-3m (No. 225)
Symmetry-distinct sites (fractional):
Lu (0.2500, 0.2500, 0.2500) x8  4 Mn 2.94, 4 Os 2.94
Mn (0.0000, 0.0000, 0.0000) x4  8 Lu 2.94
Os (0.0000, 0.0000, 0.5000) x4  8 Lu 2.94

## Properties
Crystal system   cubic
Spin magnetization   3.6 μB/f.u.

b (0.016 eV/atom below the next structure)

a:
Here is an optimized crystal structure of LuPa2Mn from Alexandria. Energies are from GGA-PBE.

Cell: 3.5811 3.5811 25.7362 Å, 90.00 90.00 120.00°
Closest atoms and distances in Å follow each position.
Space group R-3m (No. 166, hexagonal axes)
Symmetry-distinct sites (fractional):
Lu (0.0000, 0.0000, 0.0000) x3  6 Pa 3.42, 6 Lu 3.58
Pa (0.0000, 0.0000, 0.2273) x6  3 Mn 2.59
Mn (0.0000, 0.0000, 0.5000) x3  6 Pa 2.59

## Properties
Crystal system   trigonal
Spin magnetization   0.0 μB/f.u.

b:
Here is an optimized crystal structure of LuPa2Mn from Alexandria. Energies are from GGA-PBE.

Cell: 3.1917 3.1917 8.9063 Å, 90.00 90.00 90.00°
Closest atoms and distances in Å follow each position.
Space group P4/mmm (No. 123)
Symmetry-distinct sites (fractional):
Lu (0.0000, 0.0000, 0.0000) x1  4 Lu 3.19, 8 Pa 3.55
Pa (0.5000, 0.5000, 0.3072) x2  4 Mn 2.84
Mn (0.0000, 0.0000, 0.5000) x1  8 Pa 2.84

## Properties
Crystal system   tetragonal
Spin magnetization   0.0 μB/f.u.

a (0.018 eV/atom below the next structure)

a:
Here is an optimized crystal structure of Lu2MnPd from Alexandria. Energies are from GGA-PBE.

Cell: 6.8872 6.8872 6.8872 Å, 90.00 90.00 90.00°
Closest atoms and distances in Å follow each position.
Space group Fm-3m (No. 225)
Symmetry-distinct sites (fractional):
Lu (0.2500, 0.2500, 0.2500) x8  4 Mn 2.98, 4 Pd 2.98
Mn (0.0000, 0.0000, 0.0000) x4  8 Lu 2.98
Pd (0.0000, 0.0000, 0.5000) x4  8 Lu 2.98

## Properties
Crystal system   cubic
Spin magnetization   3.1 μB/f.u.

b:
Here is an optimized crystal structure of Lu2MnPd from Alexandria. Energies are from GGA-PBE.

Cell: 3.4091 3.4091 6.8889 Å, 90.00 90.00 90.00°
Closest atoms and distances in Å follow each position.
Space group P4/mmm (No. 123)
Symmetry-distinct sites (fractional):
Lu (0.0000, 0.0000, 0.2490) x2  4 Mn 2.96, 4 Pd 2.97
Mn (0.5000, 0.5000, 0.0000) x1  8 Lu 2.96
Pd (0.5000, 0.5000, 0.5000) x1  8 Lu 2.97

## Properties
Crystal system   tetragonal
Spin magnetization   2.5 μB/f.u.

b (0.081 eV/atom below the next structure)

a:
Here is an optimized crystal structure of LuPu2Mn from Alexandria. Energies are from GGA-PBE.

Cell: 3.3632 3.3632 29.1615 Å, 90.00 90.00 120.00°
Closest atoms and distances in Å follow each position.
Space group R-3m (No. 166, hexagonal axes)
Symmetry-distinct sites (fractional):
Lu (0.0000, 0.0000, 0.0000) x3  6 Lu 3.36, 6 Pu 3.47
Pu (0.0000, 0.0000, 0.2349) x6  3 Mn 2.78
Mn (0.0000, 0.0000, 0.5000) x3  6 Pu 2.78

## Properties
Crystal system   trigonal
Spin magnetization   8.7 μB/f.u.

b:
Here is an optimized crystal structure of LuPu2Mn from Alexandria. Energies are from GGA-PBE.

Cell: 3.2945 3.2945 8.5839 Å, 90.00 90.00 90.00°
Closest atoms and distances in Å follow each position.
Space group P4/mmm (No. 123)
Symmetry-distinct sites (fractional):
Lu (0.0000, 0.0000, 0.0000) x1  4 Lu 3.29, 8 Pu 3.47
Pu (0.5000, 0.5000, 0.2995) x2  4 Mn 2.90
Mn (0.0000, 0.0000, 0.5000) x1  8 Pu 2.90

## Properties
Crystal system   tetragonal
Spin magnetization   9.0 μB/f.u.

b (0.148 eV/atom below the next structure)